(1)
Rb2TlCdHg2: optimized geometry, GGA-PBE.

Results
- density of states at the Fermi level (states/eV per cell) = 8.81
- calculated total energy (eV/cell) = -13.4
- DFT formation energy (eV/atom) = -0.146

Lattice parameters (Å, degrees): 7.3768 7.4147 9.8934 112.01 111.89 90.00
Fractional coordinates of all 12 atoms:
Rb1 0.6709 0.9222 0.3418
Rb2 0.1709 0.4195 0.3418
Rb3 0.8291 0.5805 0.6582
Rb4 0.3291 0.0778 0.6582
Tl1 0.2500 0.0000 0.0000
Tl2 0.7500 0.0000 0.0000
Cd1 0.7500 0.5000 0.0000
Cd2 0.2500 0.5000 0.0000
Hg1 0.3980 0.6322 0.7959
Hg2 0.6020 0.3678 0.2041
Hg3 0.1020 0.8363 0.2041
Hg4 0.8980 0.1637 0.7959


(2)
RbTlCdHg2: optimized geometry, GGA-PBE.

Results
- density of states at the Fermi level (states/eV per cell) = 2.71
- calculated total energy (eV/cell) = -4.7
- DFT formation energy (eV/atom) = 0.021

Lattice parameters (Å, degrees): 5.9094 5.9094 5.8345 90.00 90.00 90.00
Fractional coordinates of all 5 atoms:
Tl1 0.0000 0.0000 0.0000
Hg1 0.0000 0.5000 0.0000
Hg2 0.5000 0.0000 0.0000
Rb1 0.5000 0.5000 0.5000
Cd1 0.0000 0.0000 0.5000


(3)
RbTlCd2Hg4: optimized geometry, GGA-PBE.

Results
- density of states at the Fermi level (states/eV per cell) = 3.45
- calculated total energy (eV/cell) = -7.0
- DFT formation energy (eV/atom) = -0.080

Lattice parameters (Å, degrees): 5.1159 5.1159 11.2743 76.89 76.89 60.00
Fractional coordinates of all 8 atoms:
Rb1 0.0000 0.0000 0.0000
Tl1 0.5000 0.5000 0.5000
Cd1 0.7613 0.7613 0.7160
Cd2 0.2387 0.2387 0.2840
Hg1 0.3967 0.3967 0.8098
Hg2 0.8734 0.8734 0.3798
Hg3 0.1266 0.1266 0.6202
Hg4 0.6033 0.6033 0.1902


(4)
RbZnCdHg2: optimized geometry, GGA-PBE.

Results
- density of states at the Fermi level (states/eV per cell) = 2.57
- calculated total energy (eV/cell) = -3.7
- DFT formation energy (eV/atom) = 0.014

Lattice parameters (Å, degrees): 5.7723 5.7723 5.2546 90.00 90.00 90.00
Fractional coordinates of all 5 atoms:
Zn1 0.0000 0.0000 0.5000
Hg1 0.0000 0.5000 0.0000
Hg2 0.5000 0.0000 0.0000
Rb1 0.5000 0.5000 0.5000
Cd1 0.0000 0.0000 0.0000


(5)
Rb2ZnCd4Hg3: optimized geometry, GGA-PBE.

Results
- density of states at the Fermi level (states/eV per cell) = 4.68
- calculated total energy (eV/cell) = -8.6
- DFT formation energy (eV/atom) = -0.087

Lattice parameters (Å, degrees): 5.0617 5.0617 12.0311 90.00 90.00 90.00
Fractional coordinates of all 10 atoms:
Rb1 0.5000 0.0000 0.2573
Rb2 0.0000 0.5000 0.7427
Zn1 0.5000 0.5000 0.5000
Cd1 0.5000 0.5000 0.0000
Cd2 0.0000 0.0000 0.0000
Cd3 0.5000 0.0000 0.6179
Cd4 0.0000 0.5000 0.3821
Hg1 0.0000 0.0000 0.5000
Hg2 0.5000 0.0000 0.8620
Hg3 0.0000 0.5000 0.1380


(6)
RbZnCdHg2: optimized geometry, GGA-PBE.

Results
- density of states at the Fermi level (states/eV per cell) = 1.87
- calculated total energy (eV/cell) = -4.0
- DFT formation energy (eV/atom) = -0.056

Lattice parameters (Å, degrees): 5.5007 5.5007 5.2625 90.00 90.00 90.00
Fractional coordinates of all 5 atoms:
Zn1 0.0000 0.0000 0.0000
Hg1 0.0000 0.5000 0.0000
Hg2 0.5000 0.0000 0.0000
Rb1 0.5000 0.5000 0.5000
Cd1 0.0000 0.0000 0.5000


(7)
RbZnCd2Hg: optimized geometry, GGA-PBE.

Results
- density of states at the Fermi level (states/eV per cell) = 2.02
- calculated total energy (eV/cell) = -4.3
- DFT formation energy (eV/atom) = 0.006

Lattice parameters (Å, degrees): 5.2934 5.2934 5.5540 90.00 90.00 90.00
Fractional coordinates of all 5 atoms:
Zn1 0.0000 0.0000 0.0000
Hg1 0.0000 0.0000 0.5000
Rb1 0.5000 0.5000 0.5000
Cd1 0.0000 0.5000 0.0000
Cd2 0.5000 0.0000 0.0000


(8)
CdRe2Hg: optimized geometry, GGA-PBE.

Results
- density of states at the Fermi level (states/eV per cell) = 2.05
- calculated total energy (eV/cell) = -21.3
- DFT formation energy (eV/atom) = 1.213

Lattice parameters (Å, degrees): 3.2610 3.2610 6.4540 90.00 90.00 90.00
Fractional coordinates of all 4 atoms:
Re1 0.0000 0.0000 0.9982
Re2 0.0000 0.0000 0.5018
Hg1 0.5000 0.5000 0.7500
Cd1 0.5000 0.5000 0.2500


(9)
CdRe2Hg: optimized geometry, GGA-PBE.

Results
- density of states at the Fermi level (states/eV per cell) = 2.02
- calculated total energy (eV/cell) = -22.9
- DFT formation energy (eV/atom) = 0.793

Lattice parameters (Å, degrees): 4.9554 2.8228 5.0954 87.58 90.00 90.00
Fractional coordinates of all 4 atoms:
Re1 0.0000 0.9146 0.0165
Re2 0.0000 0.5854 0.4835
Hg1 0.5000 0.7500 0.7500
Cd1 0.5000 0.2500 0.2500


(10)
CdRe2Hg2: optimized geometry, GGA-PBE.

Results
- density of states at the Fermi level (states/eV per cell) = 8.00
- calculated total energy (eV/cell) = -43.8
- DFT formation energy (eV/atom) = 0.905

Lattice parameters (Å, degrees): 8.4944 8.4944 2.8571 90.00 90.00 90.00
Fractional coordinates of all 10 atoms:
Re1 0.0965 0.5965 0.5000
Re2 0.5965 0.9035 0.5000
Re3 0.9035 0.4035 0.5000
Re4 0.4035 0.0965 0.5000
Hg1 0.3063 0.8063 0.0000
Hg2 0.8063 0.6937 0.0000
Hg3 0.6937 0.1937 0.0000
Hg4 0.1937 0.3063 0.0000
Cd1 0.0000 0.0000 0.0000
Cd2 0.5000 0.5000 0.0000


(11)
CdRe2Hg: optimized geometry, GGA-PBE.

Results
- density of states at the Fermi level (states/eV per cell) = 3.23
- calculated total energy (eV/cell) = -23.0
- DFT formation energy (eV/atom) = 0.787

Lattice parameters (Å, degrees): 5.7924 5.7924 5.7924 149.52 129.86 59.82
Fractional coordinates of all 4 atoms:
Re1 0.9698 0.9698 0.0000
Re2 0.7826 0.2826 0.5000
Hg1 0.2319 0.7319 0.5000
Cd1 0.5157 0.5157 0.0000


(12)
Cd2ReHg: optimized geometry, GGA-PBE.

Results
- density of states at the Fermi level (states/eV per cell) = 3.79
- calculated total energy (eV/cell) = -12.6
- DFT formation energy (eV/atom) = 0.483

Lattice parameters (Å, degrees): 11.3693 11.3693 11.3693 14.63 14.63 14.63
Fractional coordinates of all 4 atoms:
Re1 0.7500 0.7500 0.7500
Hg1 0.2500 0.2500 0.2500
Cd1 0.0106 0.0106 0.0106
Cd2 0.4894 0.4894 0.4894